## A
LiTlAsBr2 | PBE | optimized geometry

DOS(E_F): 1.176 states/eV/f.u.
symmetry: P4/mmm

a = 5.2816 Å, b = 5.2816 Å, c = 5.2950 Å
α = 90.00°, β = 90.00°, γ = 90.00°
Positions (direct):
Li 0.0000 0.0000 0.0000
Tl 0.5000 0.5000 0.5000
As 0.0000 0.0000 0.5000
Br 0.0000 0.5000 0.0000
Br 0.5000 0.0000 0.0000

## B
LiTlAsBr2 | PBE | optimized geometry

DOS(E_F): 2.092 states/eV/f.u.
symmetry: Pm

a = 5.2575 Å, b = 3.5922 Å, c = 7.9688 Å
α = 90.00°, β = 98.95°, γ = 90.00°
Positions (direct):
Li 0.0000 0.0000 0.0000
Tl 0.5732 0.0000 0.3953
As 0.7486 0.5000 0.7324
Br 0.0157 0.5000 0.2314
Br 0.3199 0.5000 0.8290

## C
LiTlAsBr2 | PBE | optimized geometry

DOS(E_F): 2.311 states/eV/f.u.
symmetry: Cm

a = 9.6601 Å, b = 4.6272 Å, c = 7.9588 Å
α = 90.00°, β = 118.75°, γ = 90.00°
Positions (direct):
Li 0.0000 0.0000 0.0000
Li 0.5000 0.5000 0.0000
Tl 0.2659 0.0000 0.5077
Tl 0.7659 0.5000 0.5077
As 0.0473 0.0000 0.6721
As 0.5473 0.5000 0.6721
Br 0.0415 0.5000 0.1786
Br 0.1767 0.5000 0.8084
Br 0.5415 0.0000 0.1786
Br 0.6767 0.0000 0.8084

Which is the most stable structure? B is the most stable.

## A
LiTlAs2Br | PBE | optimized geometry

DOS(E_F): 2.799 states/eV/f.u.
symmetry: P4/mmm

a = 4.6476 Å, b = 4.6476 Å, c = 6.0907 Å
α = 90.00°, β = 90.00°, γ = 90.00°
Positions (direct):
Li 0.0000 0.0000 0.0000
Tl 0.5000 0.5000 0.5000
As 0.0000 0.5000 0.0000
As 0.5000 0.0000 0.0000
Br 0.0000 0.0000 0.5000

## B
LiTlAs2Br | PBE | optimized geometry

DOS(E_F): 3.211 states/eV/f.u.
symmetry: P4/mmm

a = 5.3286 Å, b = 5.3286 Å, c = 6.2445 Å
α = 90.00°, β = 90.00°, γ = 90.00°
Positions (direct):
Li 0.0000 0.0000 0.0000
Tl 0.5000 0.5000 0.5000
As 0.0000 0.5000 0.5000
As 0.5000 0.0000 0.5000
Br 0.5000 0.5000 0.0000

Which is the most stable structure? A is the most stable.